Run 1
Crystalline Si2SbSe at its relaxed geometry. Source: Alexandria via LeMat-Bulk, functional PBE.

Magnetization   0.0 μB per cell
D(E_F)   1.49 states/eV/f.u.

Unit cell a=11.765 b=3.850 c=3.942 alpha=90.00 beta=105.32 gamma=90.00
Space group Cm (No. 8)
Unique sites:
Si 0.000 0.000 0.000
Si 0.219 0.000 0.126
Sb 0.259 0.500 0.680
Se 0.484 0.000 0.382

Run 2
Crystalline Si2SbSe at its relaxed geometry. Source: Alexandria via LeMat-Bulk, functional PBE.

Magnetization   0.0 μB per cell
D(E_F)   2.38 states/eV/f.u.

Unit cell a=3.9193 b=3.9193 c=19.0928 alpha=90.00 beta=90.00 gamma=120.00
Space group R-3m (No. 166, hexagonal axes)
Unique sites:
Si 0.0000 0.0000 0.2489
Sb 0.0000 0.0000 0.0000
Se 0.0000 0.0000 0.5000

Run 3
Crystalline Si2SbSe at its relaxed geometry. Source: Alexandria via LeMat-Bulk, functional PBE.

Magnetization   0.0 μB per cell
D(E_F)   1.43 states/eV/f.u.

Unit cell a=3.467 b=5.860 c=9.134 alpha=90.00 beta=90.00 gamma=90.00
Space group Cmm2 (No. 35)
Unique sites:
Si 0.000 0.000 0.000
Si 0.000 0.500 0.195
Sb 0.000 0.500 0.775
Se 0.000 0.000 0.377

Preferred: run 1; penalty for the next structure: 0.065 eV/atom.

Run 1
Crystalline Si2SbSe at its relaxed geometry. Source: Alexandria via LeMat-Bulk, functional PBE.

Magnetization   0.0 μB per cell
D(E_F)   1.76 states/eV/f.u.

Unit cell a=5.561 b=7.792 c=3.925 alpha=90.00 beta=90.00 gamma=90.00
Space group Cmmm (No. 65)
Unique sites:
Si 0.000 0.249 0.000
Sb 0.000 0.000 0.500
Se 0.000 0.500 0.500

Run 2
Crystalline Si2SbSe at its relaxed geometry. Source: Alexandria via LeMat-Bulk, functional PBE.

Magnetization   0.0 μB per cell
D(E_F)   1.92 states/eV/f.u.

Unit cell a=3.903 b=3.903 c=11.144 alpha=90.00 beta=90.00 gamma=90.00
Space group I-4m2 (No. 119)
Unique sites:
Si 0.000 0.000 0.000
Si 0.000 0.500 0.250
Sb 0.000 0.500 0.750
Se 0.000 0.000 0.500

Preferred: run 1; penalty for the next structure: 0.292 eV/atom.

Run 1
Crystalline Si2SbSe at its relaxed geometry. Source: Alexandria via LeMat-Bulk, functional PBE.

Magnetization   0.0 μB per cell
D(E_F)   1.69 states/eV/f.u.

Unit cell a=3.918 b=5.647 c=7.606 alpha=90.00 beta=90.00 gamma=90.00
Space group Cmmm (No. 65)
Unique sites:
Si 0.000 0.000 0.231
Sb 0.000 0.500 0.500
Se 0.000 0.500 0.000

Run 2
Crystalline Si2SbSe at its relaxed geometry. Source: Alexandria via LeMat-Bulk, functional PBE.

Magnetization   0.0 μB per cell
D(E_F)   2.75 states/eV/f.u.

Unit cell a=6.828 b=6.828 c=6.828 alpha=90.00 beta=90.00 gamma=90.00
Space group Fm-3m (No. 225)
Unique sites:
Si 0.250 0.250 0.250
Sb 0.000 0.000 0.000
Se 0.000 0.000 0.500

Preferred: run 1; penalty for the next structure: 0.023 eV/atom.

Run 1
Crystalline Si2SbSe at its relaxed geometry. Source: Alexandria via LeMat-Bulk, functional PBE.

Magnetization   0.0 μB per cell
D(E_F)   0.77 states/eV/f.u.

Unit cell a=5.418 b=5.418 c=14.371 alpha=90.00 beta=90.00 gamma=90.00
Space group I-42d (No. 122)
Unique sites:
Si 0.218 0.250 0.125
Sb 0.000 0.000 0.500
Se 0.000 0.000 0.000

Run 2
Crystalline Si2SbSe at its relaxed geometry. Source: Alexandria via LeMat-Bulk, functional PBE.

Magnetization   0.0 μB per cell
D(E_F)   1.42 states/eV/f.u.

Unit cell a=3.6185 b=3.6185 c=26.2570 alpha=90.00 beta=90.00 gamma=120.00
Space group R3m (No. 160, hexagonal axes)
Unique sites:
Si 0.0000 0.0000 0.0000
Si 0.0000 0.0000 0.2713
Sb 0.0000 0.0000 0.7302
Se 0.0000 0.0000 0.5524

Preferred: run 2; penalty for the next structure: 0.318 eV/atom.

Run 1
Crystalline SiSbSe2 at its relaxed geometry. Source: Alexandria via LeMat-Bulk, functional PBE.

Magnetization   0.0 μB per cell
D(E_F)   0.51 states/eV/f.u.

Unit cell a=3.644 b=5.298 c=15.666 alpha=90.00 beta=90.00 gamma=90.00
Space group Imm2 (No. 44)
Unique sites:
Si 0.000 0.000 0.000
Sb 0.000 0.500 0.948
Se 0.000 0.000 0.332
Se 0.000 0.500 0.597

Run 2
Crystalline SiSbSe2 at its relaxed geometry. Source: Alexandria via LeMat-Bulk, functional PBE.

Magnetization   0.0 μB per cell
D(E_F)   1.17 states/eV/f.u.

Unit cell a=4.310 b=3.864 c=5.773 alpha=90.00 beta=96.20 gamma=90.00
Space group P2/m (No. 10)
Unique sites:
Si 0.000 0.000 0.000
Sb 0.500 0.500 0.500
Se 0.000 0.000 0.500
Se 0.500 0.500 0.000

Run 3
Crystalline SiSbSe2 at its relaxed geometry. Source: Alexandria via LeMat-Bulk, functional PBE.

Magnetization   0.0 μB per cell
D(E_F)   1.86 states/eV/f.u.

Unit cell a=3.442 b=5.041 c=11.120 alpha=90.00 beta=90.00 gamma=90.00
Space group Immm (No. 71)
Unique sites:
Si 0.000 0.000 0.000
Sb 0.000 0.000 0.500
Se 0.000 0.500 0.337

Preferred: run 1; penalty for the next structure: 0.157 eV/atom.

Run 1
Crystalline SiSbSe2 at its relaxed geometry. Source: Alexandria via LeMat-Bulk, functional PBE.

Magnetization   0.0 μB per cell
D(E_F)   0.92 states/eV/f.u.

Unit cell a=4.661 b=3.646 c=5.830 alpha=90.00 beta=105.49 gamma=90.00
Space group Pm (No. 6)
Unique sites:
Si 0.000 0.000 0.000
Sb 0.585 0.500 0.524
Se 0.046 0.000 0.438
Se 0.374 0.500 0.023

Run 2
Crystalline SiSbSe2 at its relaxed geometry. Source: Alexandria via LeMat-Bulk, functional PBE.

Magnetization   0.0 μB per cell
D(E_F)   1.69 states/eV/f.u.

Unit cell a=6.964 b=6.964 c=6.964 alpha=90.00 beta=90.00 gamma=90.00
Space group F-43m (No. 216)
Unique sites:
Si 0.000 0.000 0.000
Sb 0.250 0.250 0.250
Se 0.000 0.000 0.500
Se 0.250 0.250 0.750

Run 3
Crystalline SiSbSe2 at its relaxed geometry. Source: Alexandria via LeMat-Bulk, functional PBE.

Magnetization   0.0 μB per cell
D(E_F)   1.39 states/eV/f.u.

Unit cell a=6.101 b=3.524 c=8.538 alpha=90.00 beta=104.31 gamma=90.00
Space group C2/m (No. 12)
Unique sites:
Si 0.000 0.000 0.000
Sb 0.000 0.500 0.500
Se 0.228 0.500 0.180

Preferred: run 3; penalty for the next structure: 0.045 eV/atom.